Model i:
DFT (GGA-PBE) results for an optimized crystal structure of Zr2BeCd.

Structure (CIF):
```
data_Zr2BeCd
_chemical_formula_sum 'Zr6 Be3 Cd3'
_symmetry_space_group_name_H-M 'R -3 m'
_symmetry_Int_Tables_number 166
_symmetry_space_group_name_Hall '-R 3 2"'
_cell_length_a 3.2905
_cell_length_b 3.2905
_cell_length_c 25.7281
_cell_angle_alpha 90.00
_cell_angle_beta 90.00
_cell_angle_gamma 120.00
loop_
_atom_site_label
_atom_site_fract_x
_atom_site_fract_y
_atom_site_fract_z
Zr1 0.0000 0.0000 0.2345
Be1 0.0000 0.0000 0.5000
Cd1 0.0000 0.0000 0.0000
```

Model ii:
DFT (GGA-PBE) results for an optimized crystal structure of Zr2BeCd.

Structure (CIF):
```
data_Zr2BeCd
_chemical_formula_sum 'Zr2 Be1 Cd1'
_symmetry_space_group_name_H-M 'P 4/m m m'
_symmetry_Int_Tables_number 123
_symmetry_space_group_name_Hall '-P 4 2'
_cell_length_a 2.997
_cell_length_b 2.997
_cell_length_c 8.357
_cell_angle_alpha 90.00
_cell_angle_beta 90.00
_cell_angle_gamma 90.00
loop_
_atom_site_label
_atom_site_fract_x
_atom_site_fract_y
_atom_site_fract_z
Zr1 0.000 0.000 0.204
Be1 0.500 0.500 0.000
Cd1 0.500 0.500 0.500
```

It is model ii that is most stable; the runner-up trails by 179 meV per atom.